# NaTl6Pb2

Crystalline NaTl6Pb2 at its relaxed geometry (GGA-PBE, Alexandria).

Cell and atoms, written as POSCAR:
```
NaTl6Pb2
1.0
5.119 0.000 0.000
0.000 10.294 0.000
0.001 0.000 10.296
Na Tl Pb
2 12 4
Direct
0.000 0.000 0.500 Na
0.500 0.500 0.000 Na
0.500 0.157 0.657 Tl
0.000 0.343 0.157 Tl
0.000 0.331 0.491 Tl
0.500 0.508 0.331 Tl
0.500 0.169 0.991 Tl
0.500 0.831 0.009 Tl
0.000 0.992 0.831 Tl
0.500 0.843 0.343 Tl
0.000 0.657 0.843 Tl
0.500 0.492 0.669 Tl
0.000 0.008 0.169 Tl
0.000 0.669 0.509 Tl
0.500 0.178 0.322 Pb
0.500 0.822 0.678 Pb
0.000 0.322 0.822 Pb
0.000 0.678 0.178 Pb
```

=====

In2IrSe, relaxed, DFT GGA-PBE; formation energy from raw total energies = 0.027 eV/atom
1.0
-0.613 1.659 3.338
-0.493 -3.367 1.583
6.679 -0.325 1.388
Se Ir In
1 1 2
Direct
0.500 0.500 0.813 Se
0.000 0.000 0.345 Ir
0.500 0.500 0.378 In
0.000 0.000 0.964 In

=====

# Tl5In4Sn

Crystalline Tl5In4Sn at its relaxed geometry (GGA-PBE, Alexandria).

Cell and atoms, written as POSCAR:
```
Tl5In4Sn
1.0
-1.744 3.063 -0.213
-2.820 -3.131 7.330
8.819 5.219 2.868
In Tl Sn
4 5 1
Direct
0.973 0.946 0.244 In
0.679 0.358 0.911 In
0.321 0.642 0.089 In
0.027 0.054 0.756 In
0.159 0.317 0.214 Tl
0.183 0.367 0.578 Tl
0.841 0.683 0.786 Tl
0.817 0.633 0.422 Tl
0.500 0.000 0.500 Tl
0.500 0.000 0.000 Sn
```

=====

# BaFe2Ir

Crystalline BaFe2Ir at its relaxed geometry (GGA-PBE, Alexandria).

Cell and atoms, written as POSCAR:
```
BaFe2Ir
1.0
3.319 0.000 0.000
0.000 5.015 0.000
0.000 0.000 4.563
Fe Ir Ba
2 1 1
Direct
0.000 0.000 0.000 Fe
0.500 0.500 0.000 Fe
0.500 0.000 0.500 Ir
0.000 0.500 0.500 Ba
```

=====

Number 1: density of states at the Fermi level 5.04 states/eV/f.u., M_tot 0.0000 μB/atom, uncorrected energy -2.577 eV/atom. Number 2: density of states at the Fermi level 1.40 states/eV/f.u., M_tot 0.0000 μB/atom, uncorrected energy -4.429 eV/atom. Number 3: density of states at the Fermi level 4.32 states/eV/f.u., M_tot 0.0000 μB/atom, uncorrected energy -2.625 eV/atom. Number 4: density of states at the Fermi level 3.81 states/eV/f.u., M_tot 1.5016 μB/atom, uncorrected energy -5.958 eV/atom.